No. 1
# ReTeAu2, optimized geometry, DFT PBE
data_ReTeAu2
_symmetry_space_group_name_H-M 'P 1'
_symmetry_Int_Tables_number 1
_cell_length_a 2.907
_cell_length_b 2.907
_cell_length_c 9.734
_cell_angle_alpha 90.00
_cell_angle_beta 90.00
_cell_angle_gamma 89.97
loop_
_symmetry_equiv_pos_as_xyz
'x,y,z'
loop_
_atom_site_label
_atom_site_type_symbol
_atom_site_fract_x
_atom_site_fract_y
_atom_site_fract_z
_atom_site_occupancy
Au1 Au 0.000 0.000 0.450 1
Au2 Au 0.000 0.000 0.050 1
Te1 Te 0.500 0.500 0.750 1
Re1 Re 0.500 0.500 0.250 1
# V, Å³/atom: 20.56
# Formation energy (no corrections), eV per atom: 0.647
# M_tot, μB per formula unit: 0.54
# SG: No. 123

No. 2
# Re4TeAu, optimized geometry, DFT PBE
data_Re4TeAu
_symmetry_space_group_name_H-M 'P 1'
_symmetry_Int_Tables_number 1
_cell_length_a 5.315
_cell_length_b 5.315
_cell_length_c 5.315
_cell_angle_alpha 60.00
_cell_angle_beta 60.00
_cell_angle_gamma 60.00
loop_
_symmetry_equiv_pos_as_xyz
'x,y,z'
loop_
_atom_site_label
_atom_site_type_symbol
_atom_site_fract_x
_atom_site_fract_y
_atom_site_fract_z
_atom_site_occupancy
Au1 Au 0.000 0.000 0.000 1
Re1 Re 0.374 0.374 0.374 1
Re2 Re 0.374 0.878 0.374 1
Re3 Re 0.878 0.374 0.374 1
Re4 Re 0.374 0.374 0.878 1
Te1 Te 0.750 0.750 0.750 1
# V, Å³/atom: 17.69
# Formation energy (no corrections), eV per atom: 0.863
# M_tot, μB per formula unit: 0.00
# SG: No. 216